No. 1
Material: Nd2Al4GaPt3
Method: DFT, PBE
State: relaxed

Cell lengths 4.3025, 4.3025, 10.5069 Å; angles 90.00, 90.00, 90.00 degrees
With the nearest neighbours (Å) after each atom.
Space group P-4m2 (No. 115)
Unique sites:
Nd: 0.0000 0.5000 0.2500 x2  8 Al 3.27-3.40, 6 Pt 3.30-3.40, 2 Ga 3.40
Al: 0.0000 0.0000 0.0000 x1  4 Pt 2.54
Al: 0.0000 0.5000 0.6365 x2  3 Pt 2.47-2.59, 2 Ga 2.59
Al: 0.5000 0.5000 0.0000 x1  4 Pt 2.54
Ga: 0.0000 0.0000 0.5000 x1  4 Al 2.59
Pt: 0.0000 0.5000 0.8715 x2  5 Al 2.47-2.54
Pt: 0.5000 0.5000 0.5000 x1  4 Al 2.59

Calculated values
Raw total energy (eV per cell): -55.583
Total magnetization (μB per cell): 0.0

=====

No. 2
Material: CeZrN2
Method: DFT, PBE
State: relaxed

Cell lengths 3.3445, 3.3445, 11.4655 Å; angles 90.00, 90.00, 120.00 degrees
With the nearest neighbours (Å) after each atom.
Space group P6_3/mmc (No. 194)
Unique sites:
Ce: 0.3333 0.6667 0.2500 x2  6 N 2.50
Zr: 0.0000 0.0000 0.0000 x2  6 N 2.31
N: 0.3333 0.6667 0.6112 x4  3 Zr 2.31, 3 Ce 2.50

Calculated values
Raw total energy (eV per cell): -75.313
Total magnetization (μB per cell): 0.0
Formation energy from raw total energies (eV per formula unit): -6.52

=====

No. 3
Material: Mn2CdCo
Method: DFT, PBE
State: relaxed

Cell lengths 9.7510, 3.0700, 4.3714 Å; angles 90.00, 115.54, 90.00 degrees
With the nearest neighbours (Å) after each atom.
Space group Cm (No. 8)
Unique sites:
Mn: 0.0000 0.0000 0.0000 x2  2 Co 2.42, 4 Cd 2.69
Mn: 0.2328 0.0000 0.7328 x2  4 Co 2.66-2.69, 3 Mn 2.81-2.97, 3 Cd 2.83-2.95
Cd: 0.4631 0.0000 0.4634 x2  7 Mn 2.69-2.95, 2 Co 2.69
Co: 0.2120 0.5000 0.2085 x2  6 Mn 2.42-2.69, 2 Cd 2.69

Calculated values
Raw total energy (eV per cell): -50.140
Total magnetization (μB per cell): 16.1

=====

No. 4
Material: SrPH
Method: DFT, PBE
State: relaxed

Cell lengths 7.0779, 7.9563, 4.5102 Å; angles 90.00, 90.00, 90.00 degrees
With the nearest neighbours (Å) after each atom.
Space group Pnma (No. 62)
Unique sites:
Sr: 0.0000 0.0000 0.0000 x4  2 H 2.72
P: 0.1544 0.2500 0.4768 x4  1 H 1.45
H: 0.0371 0.7500 0.4072 x4  1 P 1.45

Calculated values
Raw total energy (eV per cell): -50.324
Total magnetization (μB per cell): 0.0
Offset from the most stable computed form (eV/atom): 0.0477

=====

No. 5
Material: SnBi2Pd
Method: DFT, PBE
State: relaxed

Cell lengths 3.3797, 3.3797, 9.1486 Å; angles 90.00, 90.00, 90.00 degrees
With the nearest neighbours (Å) after each atom.
Space group P4/mmm (No. 123)
Unique sites:
Sn: 0.0000 0.0000 0.0000 x1  4 Sn 3.38, 8 Bi 3.64
Bi: 0.5000 0.5000 0.2997 x2  4 Pd 3.01
Pd: 0.0000 0.0000 0.5000 x1  8 Bi 3.01

Calculated values
Raw total energy (eV per cell): -17.439
Total magnetization (μB per cell): 0.0

=====

No. 6
Material: AcMg4Si3
Method: DFT, PBE
State: relaxed

Cell lengths 4.5089, 4.5089, 8.7208 Å; angles 90.00, 90.00, 90.00 degrees
With the nearest neighbours (Å) after each atom.
Space group P4/mmm (No. 123)
Unique sites:
Ac: 0.0000 0.0000 0.0000 x1  8 Si 3.41, 8 Mg 3.59
Mg: 0.0000 0.5000 0.3199 x4  4 Si 2.75-2.76
Si: 0.0000 0.0000 0.5000 x1  8 Mg 2.75
Si: 0.5000 0.5000 0.1377 x2  1 Si 2.40

Calculated values
Raw total energy (eV per cell): -29.266
Total magnetization (μB per cell): 0.0
Formation energy from raw total energies (eV per formula unit): -2.51

=====

No. 7
Material: CaAgPRh
Method: DFT, PBE
State: relaxed

Cell lengths 3.9143, 3.9143, 10.4488 Å; angles 90.00, 90.00, 90.00 degrees
With the nearest neighbours (Å) after each atom.
Space group P4/nmm (No. 129, origin choice 2)
Unique sites:
Ca: 0.2500 0.2500 0.2488 x2  4 P 3.03, 4 Rh 3.25, 4 Ag 3.27
Ag: 0.2500 0.7500 0.5000 x2  4 Ag 2.77
P: 0.2500 0.2500 0.8684 x2  4 Rh 2.39
Rh: 0.2500 0.7500 0.0000 x2  4 P 2.39

Calculated values
Raw total energy (eV per cell): -40.559
Total magnetization (μB per cell): 0.0

=====

No. 8
Material: Ta7Nb3
Method: DFT, PBE
State: relaxed

Cell lengths 8.9679, 8.9679, 5.4797 Å; angles 90.00, 90.00, 120.00 degrees
With the nearest neighbours (Å) after each atom.
Space group P6_3/mmc (No. 194)
Unique sites:
Ta: 0.0000 0.5000 0.0000 x6  4 Nb 2.67, 4 Ta 2.74-2.93
Ta: 0.1219 0.2437 0.2500 x6  4 Nb 2.94-3.12, 3 Ta 3.28
Ta: 0.3333 0.6667 0.2500 x2  6 Ta 2.93, 6 Nb 3.27
Nb: 0.2178 0.4357 0.7500 x6  6 Ta 2.67-2.94

Calculated values
Raw total energy (eV per cell): -221.341
Total magnetization (μB per cell): 0.0